Entry 1:
First-principles (PBE+U) data for a relaxed HoCrTe2O8 crystal, as listed in Alexandria via LeMat-Bulk.

Lattice parameters (Å, degrees): 6.074 6.074 6.036 90.00 90.00 120.00
Last column: magnetic moment on the atom in μB.
Fractional coordinates of all 12 atoms:
Ho1 0.000 0.000 0.500  0.01
Cr1 0.000 0.000 0.000  3.09
Te1 0.667 0.333 0.165  0.03
Te2 0.333 0.667 0.835  0.03
O1 0.333 0.667 0.134  0.01
O2 0.294 0.147 0.228  -0.01
O3 0.853 0.147 0.228  -0.01
O4 0.667 0.333 0.866  0.01
O5 0.147 0.853 0.772  -0.01
O6 0.706 0.853 0.772  -0.01
O7 0.147 0.294 0.772  -0.01
O8 0.853 0.706 0.228  -0.01

Calculated values
The density of states at the Fermi level comes out at 3.37 states/eV/f.u. For the calculated total energy, the calculation gives -75.25 eV per cell.

---

Entry 2:
First-principles (PBE+U) data for a relaxed HoCr2TeO8 crystal, as listed in Alexandria via LeMat-Bulk.

Lattice parameters (Å, degrees): 4.703 4.703 6.427 90.00 90.00 89.14
Last column: magnetic moment on the atom in μB.
Fractional coordinates of all 12 atoms:
Ho1 0.000 0.000 0.500  0.02
Cr1 0.500 0.500 0.750  2.82
Cr2 0.500 0.500 0.250  2.82
Te1 0.000 0.000 0.000  0.01
O1 0.198 0.802 0.223  -0.03
O2 0.701 0.701 0.000  -0.09
O3 0.802 0.198 0.223  -0.03
O4 0.802 0.198 0.777  -0.03
O5 0.299 0.299 0.000  -0.09
O6 0.198 0.802 0.777  -0.03
O7 0.673 0.674 0.500  -0.22
O8 0.327 0.326 0.500  -0.22

Calculated values
The density of states at the Fermi level comes out at 3.89 states/eV/f.u. For the calculated total energy, the calculation gives -84.17 eV per cell.

---

Entry 3:
First-principles (PBE+U) data for a relaxed HoCrTeO6 crystal, as listed in Alexandria via LeMat-Bulk.

Lattice parameters (Å, degrees): 5.184 5.184 9.746 90.00 90.00 120.00
Last column: magnetic moment on the atom in μB.
Fractional coordinates of all 18 atoms:
Ho1 0.000 0.000 0.000  0.01
Ho2 0.000 0.000 0.500  0.01
Cr1 0.333 0.667 0.250  2.95
Cr2 0.667 0.333 0.750  2.95
Te1 0.333 0.667 0.750  0.02
Te2 0.667 0.333 0.250  0.02
O1 0.364 0.354 0.139  -0.01
O2 0.646 0.010 0.139  -0.01
O3 0.990 0.636 0.139  -0.01
O4 0.636 0.646 0.861  -0.01
O5 0.354 0.990 0.861  -0.01
O6 0.010 0.364 0.861  -0.01
O7 0.646 0.636 0.361  -0.01
O8 0.364 0.010 0.361  -0.01
O9 0.990 0.354 0.361  -0.01
O10 0.354 0.364 0.639  -0.01
O11 0.636 0.990 0.639  -0.01
O12 0.010 0.646 0.639  -0.01

Calculated values
The density of states at the Fermi level comes out at 0.00 states/eV/f.u. The value obtained for the relative energy among the computed polymorphs is 0.000 eV/f.u.

---

Entry 4:
First-principles (PBE+U) data for a relaxed HoTiCr2O6 crystal, as listed in Alexandria via LeMat-Bulk.

Lattice parameters (Å, degrees): 5.322 5.294 5.617 63.81 64.09 58.91
Last column: magnetic moment on the atom in μB.
Fractional coordinates of all 10 atoms:
Ho1 0.794 0.800 0.591  0.03
Ti1 0.313 0.313 0.050  0.11
Cr1 0.516 0.527 0.437  3.72
Cr2 0.012 0.012 0.965  3.02
O1 0.608 0.225 0.231  -0.03
O2 0.234 0.942 0.227  -0.03
O3 0.966 0.606 0.224  -0.01
O4 0.378 0.721 0.755  -0.03
O5 0.718 0.144 0.756  -0.02
O6 0.123 0.372 0.779  0.00

Calculated values
For the calculated total energy, the calculation gives -83.19 eV per cell.

---

Entry 5:
First-principles (PBE+U) data for a relaxed Ho2Tl2CrO6 crystal, as listed in Alexandria via LeMat-Bulk.

Lattice parameters (Å, degrees): 5.711 5.711 6.724 97.04 97.04 119.92
Last column: magnetic moment on the atom in μB.
Fractional coordinates of all 11 atoms:
Ho1 0.334 0.666 0.500  0.00
Ho2 0.666 0.334 0.500  0.00
Tl1 0.837 0.163 0.000  -0.01
Tl2 0.163 0.837 0.000  -0.01
Cr1 0.000 0.000 0.500  2.22
O1 0.757 0.757 0.666  -0.04
O2 0.045 0.347 0.660  -0.04
O3 0.243 0.243 0.334  -0.04
O4 0.347 0.045 0.660  -0.04
O5 0.955 0.653 0.340  -0.04
O6 0.653 0.955 0.340  -0.04

Calculated values
For the calculated total energy, the calculation gives -74.45 eV per cell.

---

Entry 6:
First-principles (PBE+U) data for a relaxed HoTmCr2O8 crystal, as listed in Alexandria via LeMat-Bulk.

Lattice parameters (Å, degrees): 5.945 5.945 5.945 106.06 106.06 116.52
Last column: magnetic moment on the atom in μB.
Fractional coordinates of all 12 atoms:
Ho1 0.250 0.750 0.500  0.03
Tm1 0.000 0.000 0.000  0.03
Cr1 0.750 0.250 0.500  1.10
Cr2 0.500 0.500 0.000  1.11
O1 0.389 0.075 0.314  -0.03
O2 0.323 0.507 0.184  -0.03
O3 0.323 0.139 0.816  -0.03
O4 0.761 0.075 0.686  -0.03
O5 0.861 0.677 0.184  -0.03
O6 0.925 0.239 0.314  -0.03
O7 0.925 0.611 0.686  -0.03
O8 0.493 0.677 0.816  -0.03

Calculated values
The density of states at the Fermi level comes out at 1.18 states/eV/f.u. For the calculated total energy, the calculation gives -91.77 eV per cell.

---

Entry 7:
First-principles (PBE+U) data for a relaxed HoUCrO6 crystal, as listed in Alexandria via LeMat-Bulk.

Lattice parameters (Å, degrees): 5.368 5.368 9.715 90.00 90.00 120.00
Last column: magnetic moment on the atom in μB.
Fractional coordinates of all 18 atoms:
Ho1 0.000 0.000 0.000  0.02
Ho2 0.000 0.000 0.500  0.02
U1 0.667 0.333 0.250  0.08
U2 0.333 0.667 0.750  0.08
Cr1 0.333 0.667 0.250  2.93
Cr2 0.667 0.333 0.750  2.93
O1 0.646 0.655 0.137  -0.02
O2 0.009 0.354 0.137  -0.02
O3 0.354 0.009 0.637  -0.02
O4 0.991 0.646 0.863  -0.02
O5 0.345 0.354 0.363  -0.02
O6 0.009 0.655 0.363  -0.02
O7 0.655 0.009 0.863  -0.02
O8 0.646 0.991 0.363  -0.02
O9 0.991 0.345 0.637  -0.02
O10 0.345 0.991 0.137  -0.02
O11 0.655 0.646 0.637  -0.02
O12 0.354 0.345 0.863  -0.02

Calculated values
The density of states at the Fermi level comes out at 0.00 states/eV/f.u. For the calculated total energy, the calculation gives -159.14 eV per cell.

---

Entry 8:
First-principles (PBE+U) data for a relaxed HoV2CrO8 crystal, as listed in Alexandria via LeMat-Bulk.

Lattice parameters (Å, degrees): 5.818 5.818 5.818 107.09 107.09 114.36
Last column: magnetic moment on the atom in μB.
Fractional coordinates of all 12 atoms:
Ho1 0.250 0.750 0.500  0.01
V1 0.750 0.250 0.500  0.03
V2 0.500 0.500 0.000  -0.03
Cr1 0.000 0.000 0.000  2.94
O1 0.377 0.075 0.302  -0.03
O2 0.321 0.509 0.188  0.01
O3 0.321 0.133 0.812  0.01
O4 0.773 0.075 0.698  -0.03
O5 0.867 0.679 0.188  0.01
O6 0.925 0.227 0.302  -0.03
O7 0.925 0.623 0.698  -0.03
O8 0.491 0.679 0.812  0.01

Calculated values
For the calculated total energy, the calculation gives -92.28 eV per cell.

---

Entry 9:
First-principles (PBE+U) data for a relaxed HoZnCr2O6 crystal, as listed in Alexandria via LeMat-Bulk.

Lattice parameters (Å, degrees): 5.202 5.388 7.620 90.00 90.00 90.00
Last column: magnetic moment on the atom in μB.
Fractional coordinates of all 20 atoms:
Ho1 0.013 0.681 0.000  0.01
Ho2 0.513 0.319 0.500  0.01
Zn1 0.501 0.219 0.000  0.01
Zn2 0.001 0.781 0.500  0.01
Cr1 0.001 0.236 0.251  2.72
Cr2 0.001 0.236 0.749  2.72
Cr3 0.501 0.764 0.751  2.72
Cr4 0.501 0.764 0.249  2.72
O1 0.110 0.184 0.500  -0.03
O2 0.190 0.942 0.190  -0.16
O3 0.190 0.942 0.810  -0.16
O4 0.319 0.437 0.191  -0.08
O5 0.319 0.437 0.809  -0.08
O6 0.381 0.714 0.500  -0.03
O7 0.610 0.816 0.000  -0.03
O8 0.690 0.058 0.690  -0.16
O9 0.690 0.058 0.310  -0.16
O10 0.819 0.563 0.309  -0.08
O11 0.819 0.563 0.691  -0.08
O12 0.881 0.286 0.000  -0.03

Calculated values
The density of states at the Fermi level comes out at 4.05 states/eV/f.u. For the calculated total energy, the calculation gives -143.23 eV per cell.

---

Entry 10:
First-principles (PBE+U) data for a relaxed HoZnCrO4 crystal, as listed in Alexandria via LeMat-Bulk.

Lattice parameters (Å, degrees): 6.170 6.289 6.289 62.21 60.62 60.62
Last column: magnetic moment on the atom in μB.
Fractional coordinates of all 14 atoms:
Ho1 0.000 0.000 0.000  0.00
Ho2 0.000 0.500 0.500  0.00
Zn1 0.617 0.633 0.133  0.01
Zn2 0.383 0.367 0.867  0.01
Cr1 0.500 0.000 0.500  2.98
Cr2 0.000 0.000 0.500  2.98
O1 0.746 0.786 0.722  -0.03
O2 0.254 0.778 0.714  -0.03
O3 0.746 0.222 0.286  -0.03
O4 0.254 0.214 0.278  -0.03
O5 0.225 0.768 0.268  -0.01
O6 0.739 0.768 0.268  -0.01
O7 0.261 0.232 0.732  -0.01
O8 0.775 0.232 0.732  -0.01

Calculated values
The density of states at the Fermi level comes out at 0.00 states/eV/f.u. For the calculated total energy, the calculation gives -98.70 eV per cell.